DFT (PBE) results for a relaxed Tb3Ho4Cd4 crystal.

Results
calculated formation energy	-0.097	eV per atom

Unit cell a=5.308 b=7.005 c=17.010 alpha=90.00 beta=90.00 gamma=90.00
Space group Immm (No. 71)
Symmetry-distinct sites (fractional):
Tb 0.000 0.000 0.000 (multiplicity 2)
Tb 0.000 0.500 0.104 (multiplicity 4)
Ho 0.000 0.263 0.318 (multiplicity 8)
Cd 0.000 0.000 0.177 (multiplicity 4)
Cd 0.000 0.208 0.500 (multiplicity 4)

---

DFT (PBE) results for a relaxed Tb4Ho2Cd crystal.

Results
calculated formation energy	0.037	eV per atom

Unit cell a=16.453 b=3.487 c=8.473 alpha=90.00 beta=117.30 gamma=90.00
Space group C2/m (No. 12)
Symmetry-distinct sites (fractional):
Tb 0.081 0.000 0.203 (multiplicity 4)
Tb 0.132 0.500 0.894 (multiplicity 4)
Ho 0.218 0.000 0.640 (multiplicity 4)
Cd 0.000 0.000 0.500 (multiplicity 2)

---

DFT (PBE) results for a relaxed Tb5Ho3Cd crystal.

Results
calculated formation energy	0.408	eV per atom

Unit cell a=11.929 b=11.348 c=10.020 alpha=90.00 beta=108.71 gamma=90.00
Space group C2/m (No. 12)
Symmetry-distinct sites (fractional):
Tb 0.000 0.239 0.000 (multiplicity 4)
Tb 0.182 0.241 0.780 (multiplicity 8)
Tb 0.240 0.000 0.056 (multiplicity 4)
Tb 0.250 0.000 0.411 (multiplicity 4)
Ho 0.000 0.000 0.500 (multiplicity 2)
Ho 0.000 0.500 0.000 (multiplicity 2)
Ho 0.002 0.500 0.672 (multiplicity 4)
Ho 0.003 0.000 0.181 (multiplicity 4)
Cd 0.234 0.500 0.264 (multiplicity 4)

---

DFT (PBE) results for a relaxed Tb6HoCd crystal.

Results
calculated formation energy	0.048	eV per atom

Unit cell a=9.2524 b=9.2524 c=10.0609 alpha=90.00 beta=90.00 gamma=120.00
Space group R-3 (No. 148, hexagonal axes)
Symmetry-distinct sites (fractional):
Tb 0.0247 0.2573 0.2171 (multiplicity 18)
Ho 0.0000 0.0000 0.5000 (multiplicity 3)
Cd 0.0000 0.0000 0.0000 (multiplicity 3)

---

DFT (PBE) results for a relaxed Tb4Ho7Cd crystal.

Results
calculated formation energy	-0.013	eV per atom

Unit cell a=3.5416 b=3.5416 c=33.8369 alpha=90.00 beta=90.00 gamma=120.00
Space group P-3m1 (No. 164)
Symmetry-distinct sites (fractional):
Tb 0.3333 0.6667 0.1592 (multiplicity 2)
Tb 0.3333 0.6667 0.4147 (multiplicity 2)
Ho 0.0000 0.0000 0.2447 (multiplicity 2)
Ho 0.0000 0.0000 0.5000 (multiplicity 1)
Ho 0.3333 0.6667 0.6706 (multiplicity 2)
Ho 0.3333 0.6667 0.9255 (multiplicity 2)
Cd 0.0000 0.0000 0.0000 (multiplicity 1)

---

DFT (PBE) results for a relaxed Tb2Ho6Cd crystal.

Results
calculated formation energy	0.030	eV per atom

Unit cell a=3.5585 b=3.5585 c=25.3703 alpha=90.00 beta=90.00 gamma=120.00
Space group P-6m2 (No. 187)
Symmetry-distinct sites (fractional):
Tb 0.0000 0.0000 0.1763 (multiplicity 2)
Ho 0.0000 0.0000 0.4004 (multiplicity 2)
Ho 0.6667 0.3333 0.0663 (multiplicity 2)
Ho 0.6667 0.3333 0.2897 (multiplicity 2)
Cd 0.6667 0.3333 0.5000 (multiplicity 1)